Compound: LaScTe
Source: Alexandria via LeMat-Bulk
Functional: PBE-GGA
Structure: relaxed

Values from the calculation:
N(E_F) (states/eV/cell): 2.52
ΔE_f (raw) (meV per atom): -686
E above lowest polymorph (kJ per mole of atoms): 26.4
Raw total energy (eV/atom): -5.4863

Cell: 4.015 4.015 6.864 Å, 90.00 90.00 120.00°
Fractional positions:
La1 0.000 0.000 0.000
Sc1 0.667 0.333 0.410
Te1 0.333 0.667 0.670